22
Lattice="8.8081 0.0000 0.0000 0.0000 8.8081 0.0000 0.0000 0.0000 9.5297" Properties=species:S:1:pos:R:3 comment="Tl4NiBr6 (PBE, relaxed)" dft_energy_ev_per_cell=-65.7 raw_formation_energy_ev_per_atom=-0.69 sg=P4/mnc pbc="T T T"
Br 2.4119 7.7148 4.7648
Br 4.4041 4.4041 2.5362
Ni 4.4041 4.4041 0.0000
Ni 0.0000 0.0000 4.7648
Tl 7.4493 3.0452 2.3824
Tl 1.3588 5.7629 7.1473
Tl 3.0452 1.3588 7.1473
Br 5.4974 1.9922 0.0000
Tl 7.4493 3.0452 7.1473
Tl 3.0452 1.3588 2.3824
Br 1.0933 2.4119 4.7648
Tl 5.7629 7.4493 2.3824
Br 0.0000 0.0000 2.2286
Br 1.9922 3.3107 0.0000
Tl 5.7629 7.4493 7.1473
Br 3.3107 6.8160 0.0000
Br 6.3963 1.0933 4.7648
Br 4.4041 4.4041 6.9935
Br 7.7148 6.3963 4.7648
Tl 1.3588 5.7629 2.3824
Br 0.0000 0.0000 7.3011
Br 6.8160 5.4974 0.0000